# PBE-GGA ReAgP, relaxed
data_ReAgP
_cell_length_a 3.0432
_cell_length_b 4.7903
_cell_length_c 13.8022
_cell_angle_alpha 90.00
_cell_angle_beta 90.00
_cell_angle_gamma 90.00
_space_group_name_H-M_alt 'F m m 2'
_space_group_IT_number 42
_space_group_name_Hall 'F 2 -2'
loop_
_atom_site_label
_atom_site_type_symbol
_atom_site_fract_x
_atom_site_fract_y
_atom_site_fract_z
Re1 Re 0.0000 0.0000 0.0000
Ag1 Ag 0.0000 0.0000 0.3195
P1 P 0.0000 0.0000 0.6255
# **Offset from the most stable computed form**: 0.3872 eV per atom
# **Calculated formation energy**: 0.426 eV/atom

---

# PBE-GGA ScTeIr, relaxed
data_ScTeIr
_cell_length_a 4.4508
_cell_length_b 4.4508
_cell_length_c 3.5191
_cell_angle_alpha 90.00
_cell_angle_beta 90.00
_cell_angle_gamma 120.00
_space_group_name_H-M_alt 'P 3 m 1'
_space_group_IT_number 156
_space_group_name_Hall 'P 3 -2"'
loop_
_atom_site_label
_atom_site_type_symbol
_atom_site_fract_x
_atom_site_fract_y
_atom_site_fract_z
Sc1 Sc 0.0000 0.0000 0.0000
Te1 Te 0.3333 0.6667 0.4791
Ir1 Ir 0.6667 0.3333 0.5669
# **Formation energy from raw total energies**: -0.598 eV/atom

---

Number 1: E_tot -6.477 eV per atom. Number 2: E_tot -6.709 eV per atom.